[1]
## TmAlIr (PBE-GGA)

Data for an optimized crystal structure of TmAlIr.

The structure belongs to space group P-6m2 (No. 187); the cell edges are 4.4249, 4.4249 and 3.3541 Å and the angles 90.00°, 90.00° and 120.00°. The asymmetric unit holds Tm at (0.0000, 0.0000, 0.0000), Al at (0.3333, 0.6667, 0.5000) and Ir at (0.6667, 0.3333, 0.5000).

The calculation puts the formation energy at -0.765 eV/atom.

---

[2]
## NaSr3Pd (PBE-GGA)

Data for an optimized crystal structure of NaSr3Pd.

The structure belongs to space group Fd-3m (No. 227, origin choice 2); the cell edges are 16.084, 16.084 and 16.084 Å and the angles 90.00°, 90.00° and 90.00°. The asymmetric unit holds Na at (0.000, 0.000, 0.000), Sr at (0.065, 0.375, 0.875) and Pd at (0.000, 0.000, 0.500).

The calculation puts the formation energy at -0.167 eV/atom.

---

[3]
## Cd3InSb3 (PBE-GGA)

Data for an optimized crystal structure of Cd3InSb3.

The structure belongs to space group Pm-3n (No. 223); the cell edges are 8.018, 8.018 and 8.018 Å and the angles 90.00°, 90.00° and 90.00°. The asymmetric unit holds Cd at (0.000, 0.250, 0.500), In at (0.000, 0.000, 0.000) and Sb at (0.000, 0.500, 0.250).

The value obtained for the calculated total energy is -32.727 eV per cell.

---

[4]
## PuSi2Au (PBE-GGA)

Data for an optimized crystal structure of PuSi2Au.

The structure belongs to space group P4/mmm (No. 123); the cell edges are 4.362, 4.362 and 3.885 Å and the angles 90.00°, 90.00° and 90.00°. The asymmetric unit holds Pu at (0.000, 0.000, 0.000), Si at (0.000, 0.500, 0.500) and Au at (0.500, 0.500, 0.000).

The value obtained for the calculated total energy is -29.324 eV per cell.

---

[5]
## RbSrBeSe2 (PBE-GGA)

Data for an optimized crystal structure of RbSrBeSe2.

The structure belongs to space group P2/c (No. 13); the cell edges are 7.976, 4.926 and 8.952 Å and the angles 90.00°, 101.57° and 90.00°. The asymmetric unit holds Rb at (0.000, 0.222, 0.250), Sr at (0.500, 0.485, 0.750), Be at (0.500, 0.000, 0.000) and Se at (0.280, 0.242, 0.966).

The value obtained for the calculated total energy is -35.708 eV per cell.

---

[6]
## Sm8SbTe4As3 (PBE-GGA)

Data for an optimized crystal structure of Sm8SbTe4As3.

The structure belongs to space group R-3m (No. 166, hexagonal axes); the cell edges are 8.6725, 8.6725 and 21.7446 Å and the angles 90.00°, 90.00° and 120.00°. The asymmetric unit holds Sm at (0.0000, 0.0000, 0.2397), Sm at (0.0110, 0.5055, 0.7582), Sb at (0.0000, 0.0000, 0.5000), Te at (0.0000, 0.0000, 0.0000), Te at (0.0000, 0.5000, 0.0000) and As at (0.0000, 0.5000, 0.5000).

The value obtained for the calculated total energy is -275.883 eV per cell.

---

[7]
## SrCa3Te (PBE-GGA)

Data for an optimized crystal structure of SrCa3Te.

The structure belongs to space group Pm-3m (No. 221); the cell edges are 6.219, 6.219 and 6.219 Å and the angles 90.00°, 90.00° and 90.00°. The asymmetric unit holds Sr at (0.000, 0.000, 0.000), Ca at (0.000, 0.000, 0.500) and Te at (0.500, 0.500, 0.500).

The value obtained for the calculated total energy is -7.065 eV per cell.

---

[8]
## Ti8InSn2 (PBE-GGA)

Data for an optimized crystal structure of Ti8InSn2.

The structure belongs to space group C2/m (No. 12); the cell edges are 7.315, 13.035 and 5.005 Å and the angles 90.00°, 119.42° and 90.00°. The asymmetric unit holds Ti at (0.000, 0.218, 0.000), Ti at (0.075, 0.500, 0.792), Ti at (0.207, 0.108, 0.671), In at (0.000, 0.000, 0.000) and Sn at (0.000, 0.306, 0.500).

The calculation puts the formation energy at -0.058 eV/atom.

---

[9]
## Sm2BN2 (PBE-GGA)

Data for an optimized crystal structure of Sm2BN2.

The structure belongs to space group Cmc2_1 (No. 36); the cell edges are 3.071, 14.112 and 6.357 Å and the angles 90.00°, 90.00° and 90.00°. The asymmetric unit holds Sm at (0.000, 0.040, 0.000), Sm at (0.000, 0.232, 0.704), B at (0.000, 0.382, 0.977), N at (0.000, 0.128, 0.358) and N at (0.000, 0.419, 0.192).

The value obtained for the calculated total energy is -146.269 eV per cell.

---

[10]
## Ag3Cl3F (PBE-GGA)

Data for an optimized crystal structure of Ag3Cl3F.

The structure belongs to space group C2/m (No. 12); the cell edges are 8.142, 11.630 and 6.662 Å and the angles 90.00°, 95.35° and 90.00°. The asymmetric unit holds Ag at (0.065, 0.000, 0.254), Ag at (0.146, 0.356, 0.220), Cl at (0.000, 0.198, 0.000), Cl at (0.000, 0.276, 0.500), Cl at (0.179, 0.500, 0.913) and F at (0.180, 0.000, 0.616).

The value obtained for the calculated total energy is -78.629 eV per cell.

---

[11]
## BeSiHg (PBE-GGA)

Data for an optimized crystal structure of BeSiHg.

The structure belongs to space group Imm2 (No. 44); the cell edges are 2.729, 3.679 and 11.582 Å and the angles 90.00°, 90.00° and 90.00°. The asymmetric unit holds Be at (0.000, 0.000, 0.000), Si at (0.000, 0.000, 0.553) and Hg at (0.000, 0.000, 0.785).

The value obtained for the calculated total energy is -16.305 eV per cell.

---

[12]
## Ti2NiPbS (PBE-GGA)

Data for an optimized crystal structure of Ti2NiPbS.

The structure belongs to space group P4/mmm (No. 123); the cell edges are 4.433, 4.433 and 5.375 Å and the angles 90.00°, 90.00° and 90.00°. The asymmetric unit holds Ti at (0.000, 0.500, 0.000), Ni at (0.000, 0.000, 0.500), Pb at (0.500, 0.500, 0.500) and S at (0.500, 0.500, 0.000).

The value obtained for the calculated total energy is -28.108 eV per cell.